# 1
VASP calculation (GGA-PBE) on a relaxed structure of MgH4Ir.

Computed properties:
The final energy comes out at -4.15 eV per atom. Its energy relative to the lowest polymorph listed for this composition is 0.21 eV/f.u. The calculation puts the magnetic moment at 0.000 μB per atom. As for the density of states at the Fermi level: 0.017 states/eV per atom.

```
MgH4Ir
1.0
2.9390 0.0000 0.0000
-0.0153 4.5229 0.0000
-1.4502 -2.1034 4.0959
Mg H Ir
1 4 1
Direct
0.0000 0.0000 0.0000 Mg
0.2696 0.4906 0.5383 H
0.3372 0.0997 0.6800 H
0.6199 0.9399 0.2430 H
0.9955 0.5484 0.9961 H
0.8006 0.2884 0.6041 Ir
```



# 2
VASP calculation (GGA-PBE) on a relaxed structure of Mg2H7Ir.

Computed properties:
The final energy comes out at -3.75 eV per atom. Its energy relative to the lowest polymorph listed for this composition is 1.33 eV/f.u. The calculation puts the magnetic moment at 0.000 μB per atom. As for the density of states at the Fermi level: 0.000 states/eV per atom.

```
Mg2H7Ir
1.0
0.0000 3.3203 3.3203
3.3203 0.0000 3.3203
3.3203 3.3203 0.0000
Mg H Ir
2 7 1
Direct
0.2500 0.2500 0.2500 Mg
0.7500 0.7500 0.7500 Mg
0.0000 0.0000 0.0000 H
0.2412 0.2412 0.7588 H
0.2412 0.7588 0.2412 H
0.2412 0.7588 0.7588 H
0.7588 0.2412 0.2412 H
0.7588 0.2412 0.7588 H
0.7588 0.7588 0.2412 H
0.5000 0.5000 0.5000 Ir
```



# 3
VASP calculation (GGA-PBE) on a relaxed structure of Mg6HIr2.

Computed properties:
The final energy comes out at -3.71 eV per atom. Its energy relative to the lowest polymorph listed for this composition is 0.00 eV/f.u. The calculation puts the magnetic moment at 0.000 μB per atom. As for the density of states at the Fermi level: 0.376 states/eV per atom.

```
Mg6HIr2
1.0
4.5283 0.0000 0.0000
2.2589 4.9616 0.0000
2.2599 -0.0945 6.8228
Mg H Ir
6 1 2
Direct
0.0000 0.0000 0.0000 Mg
0.0558 0.3216 0.5644 Mg
0.2310 0.3947 0.1409 Mg
0.3648 0.5394 0.7291 Mg
0.4443 0.8097 0.2996 Mg
0.6883 0.9419 0.6798 Mg
0.8753 0.9068 0.3436 H
0.6977 0.2425 0.3585 Ir
0.7488 0.5595 0.9411 Ir
```



# 4
VASP calculation (GGA-PBE) on a relaxed structure of Mg3HIr3.

Computed properties:
The final energy comes out at -5.20 eV per atom. Its energy relative to the lowest polymorph listed for this composition is 0.37 eV/f.u. The calculation puts the magnetic moment at 0.000 μB per atom. As for the density of states at the Fermi level: 0.388 states/eV per atom.

```
Mg3HIr3
1.0
2.5295 1.4604 4.3443
-2.5295 1.4604 4.3443
0.0000 -2.9208 4.3443
Mg H Ir
3 1 3
Direct
0.0011 0.3366 0.6623 Mg
0.3366 0.6623 0.0011 Mg
0.6623 0.0011 0.3366 Mg
0.1250 0.1250 0.1250 H
0.1660 0.8215 0.5156 Ir
0.5156 0.1660 0.8215 Ir
0.8215 0.5156 0.1660 Ir
```



# 5
VASP calculation (GGA-PBE) on a relaxed structure of Mg3HIr.

Computed properties:
The final energy comes out at -2.92 eV per atom. Its energy relative to the lowest polymorph listed for this composition is 4.00 eV/f.u. The calculation puts the magnetic moment at 0.000 μB per atom. As for the density of states at the Fermi level: 0.476 states/eV per atom.

```
Mg3HIr
1.0
4.9814 0.0000 0.0000
0.0000 4.9814 0.0000
0.0000 0.0000 4.9814
Mg H Ir
3 1 1
Direct
0.0000 0.0000 0.5000 Mg
0.0000 0.5000 0.0000 Mg
0.5000 0.0000 0.0000 Mg
0.5000 0.5000 0.5000 H
0.0000 0.0000 0.0000 Ir
```



# 6
VASP calculation (GGA-PBE) on a relaxed structure of Mg4H4Ir.

Computed properties:
The final energy comes out at -3.40 eV per atom. Its energy relative to the lowest polymorph listed for this composition is 0.50 eV/f.u. The calculation puts the magnetic moment at 0.000 μB per atom. As for the density of states at the Fermi level: 0.218 states/eV per atom.

```
Mg4H4Ir
1.0
4.2221 -2.8921 0.0000
4.2221 2.8921 0.0000
-2.8620 0.0000 4.5639
Mg H Ir
4 4 1
Direct
0.1186 0.4751 0.0124 Mg
0.1461 0.1461 0.4031 Mg
0.5249 0.8814 0.9876 Mg
0.8539 0.8539 0.5969 Mg
0.1510 0.8490 0.0000 H
0.3153 0.6847 0.5000 H
0.5414 0.3020 0.7332 H
0.6980 0.4586 0.2668 H
0.6102 0.3898 0.5000 Ir
```



# 7
VASP calculation (GGA-PBE) on a relaxed structure of Mg2H6Ir.

Computed properties:
The final energy comes out at -3.85 eV per atom. The calculation puts the magnetic moment at 0.000 μB per atom. As for the density of states at the Fermi level: 0.067 states/eV per atom.

```
Mg2H6Ir
1.0
3.9124 0.0000 0.0000
1.9548 4.0656 0.0000
1.9456 1.4260 6.1918
Mg H Ir
2 6 1
Direct
0.1183 0.0516 0.2140 Mg
0.8817 0.9484 0.7860 Mg
0.0000 0.0000 0.5000 H
0.0000 0.5000 0.0000 H
0.3489 0.5460 0.2567 H
0.3490 0.9136 0.8877 H
0.6510 0.0864 0.1123 H
0.6511 0.4540 0.7433 H
0.5000 0.5000 0.0000 Ir
```



# 8
VASP calculation (GGA-PBE) on a relaxed structure of Mg2H2Ir.

Computed properties:
The final energy comes out at -4.10 eV per atom. Its energy relative to the lowest polymorph listed for this composition is 0.19 eV/f.u. The calculation puts the magnetic moment at 0.000 μB per atom. As for the density of states at the Fermi level: 0.243 states/eV per atom.

```
Mg2H2Ir
1.0
4.4659 0.0000 0.0000
2.2297 4.0774 0.0000
2.2327 1.1583 6.7608
Mg H Ir
4 4 2
Direct
0.0000 0.0000 0.0000 Mg
0.1427 0.1460 0.5422 Mg
0.5745 0.5513 0.2726 Mg
0.7431 0.6994 0.8150 Mg
0.0684 0.5622 0.2712 H
0.4795 0.0349 0.2767 H
0.5410 0.6636 0.5368 H
0.6449 0.1373 0.5415 H
0.2889 0.3210 0.0977 Ir
0.4520 0.3790 0.7149 Ir
```



# 9
VASP calculation (GGA-PBE) on a relaxed structure of MgH3Ir.

Computed properties:
The final energy comes out at -4.20 eV per atom. The calculation puts the magnetic moment at 0.000 μB per atom. As for the density of states at the Fermi level: 0.000 states/eV per atom.

```
MgH3Ir
1.0
3.9947 0.0000 0.0000
0.0000 4.5057 0.0000
-1.2326 0.0000 4.9010
Mg H Ir
2 6 2
Direct
0.2470 0.2500 0.3755 Mg
0.7530 0.7500 0.6245 Mg
0.1767 0.7500 0.3904 H
0.3671 0.5087 0.8115 H
0.3671 0.9913 0.8115 H
0.6329 0.0087 0.1885 H
0.6329 0.4913 0.1885 H
0.8233 0.2500 0.6096 H
0.2917 0.7500 0.0934 Ir
0.7083 0.2500 0.9066 Ir
```



# 10
VASP calculation (GGA-PBE) on a relaxed structure of MgH4Ir.

Computed properties:
The final energy comes out at -4.18 eV per atom. Its energy relative to the lowest polymorph listed for this composition is 0.03 eV/f.u. The calculation puts the magnetic moment at 0.000 μB per atom. As for the density of states at the Fermi level: 0.151 states/eV per atom.

```
MgH4Ir
1.0
3.6097 0.0000 0.0000
0.1972 3.6210 0.0000
1.6626 1.5799 4.2098
Mg H Ir
1 4 1
Direct
0.0000 0.0000 0.0000 Mg
0.1800 0.5321 0.8957 H
0.3175 0.2017 0.4761 H
0.4667 0.8158 0.1066 H
0.7962 0.6811 0.5275 H
0.3068 0.6916 0.5011 Ir
```



# 11
VASP calculation (GGA-PBE) on a relaxed structure of Mg3HIr6.

Computed properties:
The final energy comes out at -6.27 eV per atom. Its energy relative to the lowest polymorph listed for this composition is 0.18 eV/f.u. The calculation puts the magnetic moment at 0.000 μB per atom. As for the density of states at the Fermi level: 0.614 states/eV per atom.

```
Mg3HIr6
1.0
2.4106 -4.2144 0.0000
2.4106 4.2144 0.0000
-1.5932 0.0000 6.8323
Mg H Ir
3 1 6
Direct
0.0000 0.0000 0.0000 Mg
0.0964 0.4438 0.3424 Mg
0.4438 0.0964 0.3424 Mg
0.5224 0.5224 0.5554 H
0.2096 0.2096 0.6739 Ir
0.3493 0.6663 0.9999 Ir
0.5690 0.9057 0.6785 Ir
0.6663 0.3493 0.9999 Ir
0.7643 0.7643 0.3359 Ir
0.9057 0.5690 0.6785 Ir
```



# 12
VASP calculation (GGA-PBE) on a relaxed structure of MgH3Ir.

Computed properties:
The final energy comes out at -3.97 eV per atom. The calculation puts the magnetic moment at 0.000 μB per atom. As for the density of states at the Fermi level: 0.180 states/eV per atom.

```
MgH3Ir
1.0
-1.7112 1.7112 7.9947
1.7112 -1.7112 7.9947
1.7112 1.7112 -7.9947
Mg H Ir
2 6 2
Direct
0.0000 0.0000 0.0000 Mg
0.7500 0.2500 0.5000 Mg
0.3340 0.3340 0.0000 H
0.3447 0.1277 0.2170 H
0.6660 0.6660 0.0000 H
0.8723 0.0893 0.2170 H
0.8723 0.6553 0.7830 H
0.9107 0.1277 0.7830 H
0.1425 0.6425 0.5000 Ir
0.3575 0.8575 0.5000 Ir
```